LiZrW2 (PBE, relaxed); total magnetic moment = 0.00 μB/cell; N(E_F) = 0.792 states/eV per atom; offset from the most stable computed form = 7 meV per atom; formation energy = 0.28 eV per atom; space group = F-43m, No. 216
1.0
-3.758 1.899 1.767
-2.051 -4.080 0.027
4.027 0.549 2.081
Li W Zr
1 2 1
direct
0.250 0.750 0.500 Li
0.000 0.000 0.000 W
0.750 0.250 0.500 W
0.500 0.500 0.000 Zr